! ScSnAu (PBE, relaxed); values from VASP
! Energy in eV per atom: -5.0624
&SYSTEM
  ibrav = 0, nat = 12, ntyp = 3
/
ATOMIC_SPECIES
Sc 44.96 Sc.upf
Sn 118.71 Sn.upf
Au 196.97 Au.upf
CELL_PARAMETERS angstrom
6.158 0.000 0.000
0.000 4.792 0.000
0.000 0.000 8.709
ATOMIC_POSITIONS crystal
Sc 0.132 0.250 0.134
Sc 0.368 0.750 0.634
Sc 0.632 0.250 0.366
Sc 0.868 0.750 0.866
Sn 0.152 0.250 0.471
Sn 0.348 0.750 0.971
Sn 0.652 0.250 0.029
Sn 0.848 0.750 0.529
Au 0.170 0.250 0.805
Au 0.330 0.750 0.305
Au 0.670 0.250 0.695
Au 0.830 0.750 0.195

=====

! Mg4InPt (PBE, relaxed); values from VASP
! Relative energy among the computed polymorphs in meV per atom: 0.0
&SYSTEM
  ibrav = 0, nat = 6, ntyp = 3
/
ATOMIC_SPECIES
Mg 24.30 Mg.upf
In 114.82 In.upf
Pt 195.08 Pt.upf
CELL_PARAMETERS angstrom
3.904 -2.243 0.000
3.904 2.243 0.000
-2.597 0.000 8.161
ATOMIC_POSITIONS crystal
Mg 0.110 0.110 0.326
Mg 0.367 0.367 0.101
Mg 0.633 0.633 0.899
Mg 0.890 0.890 0.674
In 0.500 0.500 0.500
Pt 0.000 0.000 0.000

=====

! BaTlMo (PBE, relaxed); values from VASP
! Relative energy among the computed polymorphs in meV per atom: 668.9
&SYSTEM
  ibrav = 0, nat = 3, ntyp = 3
/
ATOMIC_SPECIES
Ba 137.33 Ba.upf
Tl 204.38 Tl.upf
Mo 95.94 Mo.upf
CELL_PARAMETERS angstrom
0.000 3.874 3.874
3.874 0.000 3.874
3.874 3.874 0.000
ATOMIC_POSITIONS crystal
Ba 0.000 0.000 0.000
Tl 0.250 0.250 0.250
Mo 0.750 0.750 0.750

=====

! InTcPd3 (PBE, relaxed); values from VASP
! Relative energy among the computed polymorphs in meV per atom: 0.0
&SYSTEM
  ibrav = 0, nat = 5, ntyp = 3
/
ATOMIC_SPECIES
In 114.82 In.upf
Tc 98.00 Tc.upf
Pd 106.42 Pd.upf
CELL_PARAMETERS angstrom
4.821 0.000 0.000
0.000 4.821 0.000
0.000 0.000 4.821
ATOMIC_POSITIONS crystal
In 0.000 0.000 0.000
Tc 0.500 0.500 0.500
Pd 0.000 0.500 0.500
Pd 0.500 0.000 0.500
Pd 0.500 0.500 0.000

=====

! ZnTcAu (PBE, relaxed); values from VASP
! Relative energy among the computed polymorphs in meV per atom: 229.0
&SYSTEM
  ibrav = 0, nat = 3, ntyp = 3
/
ATOMIC_SPECIES
Zn 65.41 Zn.upf
Tc 98.00 Tc.upf
Au 196.97 Au.upf
CELL_PARAMETERS angstrom
2.802 0.000 0.000
-1.401 2.427 0.000
0.000 0.000 6.866
ATOMIC_POSITIONS crystal
Zn 0.000 0.000 0.000
Tc 0.667 0.333 0.684
Au 0.333 0.667 0.336

=====

! LiScRe2 (PBE, relaxed); values from VASP
! Relative energy among the computed polymorphs in meV per atom: 738.5
&SYSTEM
  ibrav = 0, nat = 4, ntyp = 3
/
ATOMIC_SPECIES
Li 6.94 Li.upf
Sc 44.96 Sc.upf
Re 186.21 Re.upf
CELL_PARAMETERS angstrom
0.000 3.128 3.128
3.128 0.000 3.128
3.128 3.128 0.000
ATOMIC_POSITIONS crystal
Li 0.000 0.000 0.000
Sc 0.500 0.500 0.500
Re 0.250 0.250 0.250
Re 0.750 0.750 0.750